DFT (SCAN) results for a PBEsol-optimized structure of Li2FeTc.

Cell: 3.3092 3.3092 4.4320 Å, 90.00 90.00 90.00°
Fractional coordinates of all 4 atoms:
Fe: 0.0000 0.0000 0.5000
Li: 0.0000 0.5000 0.0000
Li: 0.5000 0.0000 0.0000
Tc: 0.5000 0.5000 0.5000

Results
Energy relative to the elements (eV per formula unit): 1.7
DOS at the Fermi energy (states/eV/cell): 2.83
Total DFT energy (no corrections) (Ry/atom): -1.03477
Relative energy among the computed polymorphs (meV/atom): 82
SG: No. 123

---

DFT (SCAN) results for a PBEsol-optimized structure of Zr2MnAs.

Cell: 3.9397 4.4607 4.8805 Å, 117.19 113.80 90.00°
Site moments in Bohr magnetons follow the coordinates.
Fractional coordinates of all 4 atoms:
As: 0.5000 0.0000 0.0000  0.01
Mn: 0.0000 0.5000 0.0000  2.73
Zr: 0.7398 0.7398 0.4796  -0.37
Zr: 0.2602 0.2602 0.5204  -0.37

Results
Energy relative to the elements (eV per formula unit): -1.6
DOS at the Fermi energy (states/eV/cell): 4.61
Total DFT energy (no corrections) (Ry/atom): -1.86485
SG: No. 71

---

DFT (SCAN) results for a PBEsol-optimized structure of InHg2.

Cell: 3.3738 4.5764 5.4403 Å, 114.87 108.06 90.00°
Fractional coordinates of all 3 atoms:
Hg: 0.3330 0.3330 0.6659
Hg: 0.6670 0.6670 0.3341
In: 0.0000 0.0000 0.0000

Results
Energy relative to the elements (eV per formula unit): 0.1
DOS at the Fermi energy (states/eV/cell): 1.00
Total DFT energy (no corrections) (Ry/atom): -4.15620
SG: No. 71

---

DFT (SCAN) results for a PBEsol-optimized structure of LaBe2TlI.

Cell: 5.3864 5.3864 6.0636 Å, 90.00 90.00 90.00°
Fractional coordinates of all 5 atoms:
I: 0.0000 0.0000 0.5000
Be: 0.0000 0.5000 0.0000
Be: 0.5000 0.0000 0.0000
Tl: 0.5000 0.5000 0.5000
La: 0.0000 0.0000 0.0000

Results
DOS at the Fermi energy (states/eV/cell): 4.42
Total DFT energy (no corrections) (Ry/atom): -2.29911
Formation energy without anion corrections (eV/atom): 0.9014
SG: No. 123

---

Question: What is the DOS at the Fermi energy in the third record?
Answer: 1.00 states/eV/cell